Computed, not measured: a relaxed Sm2Dy2Tl crystal at the PBE-GGA level of DFT.

Calculated values
The calculation puts the uncorrected energy at -41.99 eV for the cell shown. The density of states at the Fermi level is 7.8 states/eV/f.u. The formation enthalpy at 0 K is 0.003 eV per atom. The value obtained for the distance to the lowest polymorph of the same formula is 0.053 eV per atom. Its magnetic moment is 0.00 μB/cell. The mass density is 8.7 Mg/m³.

Unit cell a=5.4686 b=5.4686 c=12.2176 alpha=90.00 beta=90.00 gamma=120.00
Last column: nearest neighbours and their distance in Å.
Fractional positions:
Sm 0.3333 0.6667 0.5853  3 Dy 3.32
Sm 0.6667 0.3333 0.0853  3 Dy 3.32
Sm 0.6667 0.3333 0.4147  3 Dy 3.32
Sm 0.3333 0.6667 0.9147  3 Dy 3.32
Dy 0.6667 0.3333 0.7500  3 Tl 3.16
Dy 0.0000 0.0000 0.0000  2 Tl 3.05, 6 Sm 3.32
Dy 0.0000 0.0000 0.5000  2 Tl 3.05, 6 Sm 3.32
Dy 0.3333 0.6667 0.2500  3 Tl 3.16
Tl 0.0000 0.0000 0.2500  5 Dy 3.05-3.16
Tl 0.0000 0.0000 0.7500  5 Dy 3.05-3.16

=====

Computed, not measured: a relaxed Sm5Dy4Tl2 crystal at the PBE-GGA level of DFT.

Calculated values
The calculation puts the uncorrected energy at -46.97 eV for the cell shown. The density of states at the Fermi level is 13.6 states/eV/f.u. The formation enthalpy at 0 K is -0.021 eV per atom. Its magnetic moment is 0.00 μB/cell. The mass density is 8.5 Mg/m³.

Unit cell a=3.5835 b=8.8305 c=11.1920 alpha=93.82 beta=90.00 gamma=90.00
Last column: nearest neighbours and their distance in Å.
Fractional positions:
Sm 0.0000 0.5401 0.3389  1 Tl 3.28, 3 Sm 3.45-3.58, 4 Dy 3.60-3.65
Sm 0.0000 0.2013 0.1672  1 Tl 3.31, 4 Sm 3.33-3.58, 6 Dy 3.53-3.61
Sm 0.0000 0.5000 0.0000  4 Sm 3.33-3.58, 4 Dy 3.69
Sm 0.0000 0.7987 0.8328  1 Tl 3.31, 4 Sm 3.33-3.58, 6 Dy 3.53-3.61
Sm 0.0000 0.4599 0.6611  1 Tl 3.28, 3 Sm 3.45-3.58, 4 Dy 3.60-3.65
Dy 0.5000 0.7846 0.5544  4 Tl 3.26-3.37, 2 Dy 3.58, 4 Sm 3.59-3.60
Dy 0.5000 0.1504 0.8954  2 Tl 3.20, 2 Sm 3.53, 2 Dy 3.58
Dy 0.5000 0.2154 0.4456  4 Tl 3.26-3.37, 2 Dy 3.58, 4 Sm 3.59-3.60
Dy 0.5000 0.8496 0.1046  2 Tl 3.20, 2 Sm 3.53, 2 Dy 3.58
Tl 0.0000 0.0881 0.6601  6 Dy 3.20-3.37, 2 Sm 3.28-3.31, 2 Tl 3.58
Tl 0.0000 0.9119 0.3399  6 Dy 3.20-3.37, 2 Sm 3.28-3.31, 2 Tl 3.58